This record from the Alexandria database describes crystalline NpTl2NiO8 at its relaxed geometry. The functional is GGA+U.

Computed properties:
D(E_F), states/eV/f.u.: 0.5
Space group: P-1
E_tot, eV/atom: -6.254

POSCAR file:
```
NpTl2NiO8
1.0
5.1124 0.0000 0.0000
0.8853 5.2947 0.0000
0.6403 0.5061 6.4247
Np Tl Ni O
1 2 1 8
direct
0.0000 0.0000 0.0000 Np
0.4225 0.4293 0.2776 Tl
0.5775 0.5707 0.7224 Tl
0.0000 0.0000 0.5000 Ni
0.1914 0.1401 0.7700 O
0.1951 0.1172 0.2561 O
0.2456 0.6816 0.5193 O
0.2704 0.6721 0.9982 O
0.7296 0.3279 0.0018 O
0.7544 0.3184 0.4807 O
0.8049 0.8828 0.7439 O
0.8086 0.8599 0.2300 O
```